Version a
! MnGaCu3 (PBE, optimized geometry); values from VASP
! Volume (Å³/cell): 84
&SYSTEM
  ibrav = 0, nat = 5, ntyp = 3
/
ATOMIC_SPECIES
Mn 54.94 Mn.upf
Ga 69.72 Ga.upf
Cu 63.55 Cu.upf
ATOMIC_POSITIONS angstrom
Mn 0.000 0.000 0.000
Ga 2.188 2.188 2.188
Cu 0.000 2.188 2.188
Cu 2.188 0.000 2.188
Cu 2.188 2.188 0.000
CELL_PARAMETERS angstrom
4.375 0.000 0.000
0.000 4.375 0.000
0.000 0.000 4.375


Version b
! MnGaCu3 (PBE, optimized geometry); values from VASP
! Volume (Å³/cell): 98
&SYSTEM
  ibrav = 0, nat = 5, ntyp = 3
/
ATOMIC_SPECIES
Mn 54.94 Mn.upf
Ga 69.72 Ga.upf
Cu 63.55 Cu.upf
ATOMIC_POSITIONS angstrom
Mn 0.000 0.000 0.000
Ga 2.308 2.308 2.308
Cu 0.000 0.000 2.308
Cu 0.000 2.308 0.000
Cu 2.308 0.000 0.000
CELL_PARAMETERS angstrom
4.615 0.000 0.000
0.000 4.615 0.000
0.000 0.000 4.615


version a is preferred energetically. Next in line: 0.250 eV/atom higher.